A plane-wave DFT calculation with GGA-PBE was carried out for a relaxed structure of Ac3RuO6F2.

```
Ac3RuO6F2
1.0
6.013 -3.480 0.000
6.013 3.480 0.000
-0.352 0.000 5.274
Ac Ru O F
3 1 6 2
direct
0.000 0.000 0.000 Ac
0.000 0.500 0.500 Ac
0.500 0.000 0.500 Ac
0.500 0.500 0.500 Ru
0.215 0.660 0.705 O
0.340 0.785 0.295 O
0.351 0.351 0.304 O
0.649 0.649 0.696 O
0.660 0.215 0.705 O
0.785 0.340 0.295 O
0.180 0.180 0.797 F
0.820 0.820 0.203 F
```

Values from the calculation:
- Magnetic moment: 3.0 μB/f.u.
- Space group: No. 12
- E_form (uncorrected): -30.73 eV/f.u.
- Density: 6.89 g cm⁻³

---

A plane-wave DFT calculation with GGA-PBE was carried out for a relaxed structure of AcS2O6F2.

```
AcS2O6F2
1.0
6.136 0.000 0.000
-3.068 5.314 0.000
0.000 0.000 5.578
Ac S O F
1 2 6 2
direct
0.000 0.000 0.000 Ac
0.333 0.667 0.684 S
0.667 0.333 0.316 S
0.200 0.400 0.763 O
0.200 0.800 0.763 O
0.400 0.200 0.237 O
0.600 0.800 0.763 O
0.800 0.200 0.237 O
0.800 0.600 0.237 O
0.333 0.667 0.354 F
0.667 0.333 0.646 F
```

Values from the calculation:
- Magnetic moment: 1.0 μB/f.u.
- Space group: No. 164
- E_form (uncorrected): -19.91 eV/f.u.
- Density: 3.88 g cm⁻³

---

A plane-wave DFT calculation with GGA-PBE was carried out for a relaxed structure of Ac4S3O2F2.

```
Ac4S3O2F2
1.0
4.292 0.000 0.000
-2.146 3.717 0.000
0.000 0.000 15.137
Ac S O F
4 3 2 2
direct
0.333 0.667 0.367 Ac
0.333 0.667 0.896 Ac
0.667 0.333 0.104 Ac
0.667 0.333 0.633 Ac
0.000 0.000 0.234 S
0.000 0.000 0.500 S
0.000 0.000 0.766 S
0.333 0.667 0.060 O
0.667 0.333 0.940 O
0.333 0.667 0.633 F
0.667 0.333 0.367 F
```

Values from the calculation:
- Magnetic moment: 0.0 μB/f.u.
- Space group: No. 164
- E_form (uncorrected): -34.27 eV/f.u.
- Density: 7.39 g cm⁻³

---

A plane-wave DFT calculation with GGA-PBE was carried out for a relaxed structure of AcSO4F.

```
AcSO4F
1.0
4.820 -3.768 0.000
4.820 3.768 0.000
-1.724 0.000 6.667
Ac S O F
2 2 8 2
direct
0.212 0.212 0.144 Ac
0.788 0.788 0.856 Ac
0.355 0.355 0.736 S
0.645 0.645 0.264 S
0.157 0.474 0.846 O
0.269 0.269 0.527 O
0.474 0.157 0.846 O
0.492 0.492 0.253 O
0.508 0.508 0.747 O
0.526 0.843 0.154 O
0.731 0.731 0.473 O
0.843 0.526 0.154 O
0.029 0.029 0.824 F
0.971 0.971 0.176 F
```

Values from the calculation:
- Magnetic moment: 0.0 μB/f.u.
- Space group: No. 12
- E_form (uncorrected): -17.92 eV/f.u.
- Density: 4.69 g cm⁻³

---

A plane-wave DFT calculation with GGA-PBE was carried out for a relaxed structure of Ac2SbOF2.

```
Ac2SbOF2
1.0
-3.965 5.785 3.038
3.965 -5.785 3.038
3.965 5.785 -3.038
Ac Sb O F
4 2 2 4
direct
0.127 0.163 0.290 Ac
0.373 0.663 0.036 Ac
0.627 0.337 0.964 Ac
0.873 0.837 0.710 Ac
0.250 0.750 0.500 Sb
0.750 0.250 0.500 Sb
0.250 0.250 0.000 O
0.750 0.750 0.000 O
0.201 0.857 0.058 F
0.299 0.357 0.656 F
0.701 0.643 0.344 F
0.799 0.143 0.942 F
```

Values from the calculation:
- Magnetic moment: 0.0 μB/f.u.
- Space group: No. 72
- E_form (uncorrected): -17.79 eV/f.u.
- Density: 7.51 g cm⁻³

---

A plane-wave DFT calculation with GGA-PBE was carried out for a relaxed structure of Ac2SbOF.

```
Ac2SbOF
1.0
-2.118 2.118 6.814
2.118 -2.118 6.814
2.118 2.118 -6.814
Ac Sb O F
2 1 1 1
direct
0.145 0.145 0.000 Ac
0.855 0.855 0.000 Ac
0.500 0.500 0.000 Sb
0.750 0.250 0.500 O
0.250 0.750 0.500 F
```

Values from the calculation:
- Magnetic moment: 0.0 μB/f.u.
- Space group: No. 119
- E_form (uncorrected): -13.62 eV/f.u.
- Density: 8.30 g cm⁻³

---

A plane-wave DFT calculation with GGA-PBE was carried out for a relaxed structure of AcSe2O6F2.

```
AcSe2O6F2
1.0
6.396 0.000 0.000
-3.198 5.539 0.000
0.000 0.000 5.864
Ac Se O F
1 2 6 2
direct
0.000 0.000 0.000 Ac
0.333 0.667 0.689 Se
0.667 0.333 0.311 Se
0.188 0.377 0.774 O
0.188 0.812 0.774 O
0.377 0.188 0.226 O
0.623 0.812 0.774 O
0.812 0.188 0.226 O
0.812 0.623 0.226 O
0.333 0.667 0.368 F
0.667 0.333 0.632 F
```

Values from the calculation:
- Magnetic moment: 0.7 μB/f.u.
- Space group: No. 164
- E_form (uncorrected): -16.01 eV/f.u.
- Density: 4.15 g cm⁻³

---

A plane-wave DFT calculation with GGA-PBE was carried out for a relaxed structure of AcSe2O6F.

```
AcSe2O6F
1.0
6.342 -5.536 0.000
6.342 5.536 0.000
-1.670 0.000 5.402
Ac Se O F
2 4 12 2
direct
0.154 0.846 0.750 Ac
0.846 0.154 0.250 Ac
0.226 0.418 0.255 Se
0.418 0.226 0.755 Se
0.582 0.774 0.245 Se
0.774 0.582 0.745 Se
0.050 0.338 0.235 O
0.218 0.608 0.430 O
0.296 0.385 0.886 O
0.338 0.050 0.735 O
0.385 0.296 0.386 O
0.392 0.782 0.070 O
0.608 0.218 0.930 O
0.615 0.704 0.614 O
0.662 0.950 0.265 O
0.704 0.615 0.114 O
0.782 0.392 0.570 O
0.950 0.662 0.765 O
0.060 0.940 0.250 F
0.940 0.060 0.750 F
```

Values from the calculation:
- Magnetic moment: 0.0 μB/f.u.
- Space group: No. 15
- E_form (uncorrected): -14.91 eV/f.u.
- Density: 4.38 g cm⁻³

---

A plane-wave DFT calculation with GGA-PBE was carried out for a relaxed structure of Ac2Se2O6F.

```
Ac2Se2O6F
1.0
5.529 0.000 0.000
1.250 5.927 0.000
2.243 -0.149 6.091
Ac Se O F
2 2 6 1
direct
0.042 0.216 0.216 Ac
0.958 0.784 0.784 Ac
0.410 0.238 0.651 Se
0.590 0.762 0.349 Se
0.265 0.875 0.373 O
0.267 0.010 0.838 O
0.277 0.434 0.871 O
0.723 0.566 0.129 O
0.733 0.990 0.162 O
0.735 0.125 0.627 O
0.000 0.500 0.500 F
```

Values from the calculation:
- Magnetic moment: 1.0 μB/f.u.
- Space group: No. 2
- E_form (uncorrected): -23.14 eV/f.u.
- Density: 6.05 g cm⁻³

---

A plane-wave DFT calculation with GGA-PBE was carried out for a relaxed structure of Ac3SeO6F2.

```
Ac3SeO6F2
1.0
6.057 -3.465 0.000
6.057 3.465 0.000
-0.327 0.000 5.269
Ac Se O F
3 1 6 2
direct
0.000 0.000 0.000 Ac
0.000 0.500 0.500 Ac
0.500 0.000 0.500 Ac
0.500 0.500 0.500 Se
0.215 0.660 0.704 O
0.340 0.785 0.296 O
0.359 0.359 0.308 O
0.641 0.641 0.692 O
0.660 0.215 0.704 O
0.785 0.340 0.296 O
0.181 0.181 0.800 F
0.819 0.819 0.200 F
```

Values from the calculation:
- Magnetic moment: 0.0 μB/f.u.
- Space group: No. 12
- E_form (uncorrected): -28.83 eV/f.u.
- Density: 6.71 g cm⁻³

---

A plane-wave DFT calculation with GGA-PBE was carried out for a relaxed structure of AcSeO4F.

```
AcSeO4F
1.0
4.939 -3.883 0.000
4.939 3.883 0.000
-1.898 0.000 6.908
Ac Se O F
2 2 8 2
direct
0.209 0.209 0.135 Ac
0.791 0.791 0.865 Ac
0.351 0.351 0.730 Se
0.649 0.649 0.270 Se
0.141 0.478 0.853 O
0.254 0.254 0.504 O
0.478 0.141 0.853 O
0.479 0.479 0.257 O
0.521 0.521 0.743 O
0.522 0.859 0.147 O
0.746 0.746 0.496 O
0.859 0.522 0.147 O
0.027 0.027 0.830 F
0.973 0.973 0.170 F
```

Values from the calculation:
- Magnetic moment: 0.0 μB/f.u.
- Space group: No. 12
- E_form (uncorrected): -14.75 eV/f.u.
- Density: 4.87 g cm⁻³

---

Number 1: total energy -7.152 eV/atom. Number 2: total energy -5.979 eV/atom. Number 3: total energy -6.977 eV/atom. Number 4: total energy -6.838 eV/atom. Number 5: total energy -6.472 eV/atom. Number 6: total energy -6.557 eV/atom. Number 7: total energy -5.507 eV/atom. Number 8: total energy -5.761 eV/atom. Number 9: total energy -6.359 eV/atom. Number 10: total energy -6.511 eV/atom. Number 11: total energy -6.292 eV/atom.